Density functional theory data (PBE) for a relaxed structure of BaTaH.

a b c (Å): 4.8578 3.2610 8.8057
angles (deg): 90.00 90.00 90.00
Last column: nearest neighbours and their distance in Å.
Atoms (fractional coordinates):
1 H 0.2500 0.5000 0.6836  2 Ta 1.97
2 H 0.7500 0.5000 0.3164  2 Ta 1.97
3 Ba 0.2500 0.5000 0.1953  2 H 2.65
4 Ba 0.7500 0.5000 0.8047  2 H 2.65
5 Ta 0.2500 0.0000 0.5579  2 H 1.97
6 Ta 0.7500 0.0000 0.4421  2 H 1.97

Electronic total energy: -5.436 eV per atom
Calculated density: 7.60 g/cm³



Density functional theory data (PBE) for a relaxed structure of BaTaH.

a b c (Å): 12.8808 3.7101 3.7101
angles (deg): 90.00 115.31 64.69
Last column: nearest neighbours and their distance in Å.
Atoms (fractional coordinates):
1 H 0.7376 0.8976 0.1024  1 Ta 1.96
2 H 0.2624 0.1024 0.8976  1 Ta 1.96
3 Ba 0.7981 0.3075 0.6925  4 H 2.69-2.70
4 Ba 0.2019 0.6925 0.3075  4 H 2.69-2.70
5 Ta 0.5462 0.1815 0.8185  1 H 1.96
6 Ta 0.4538 0.8185 0.1815  1 H 1.96

Electronic total energy: -5.649 eV per atom
Calculated density: 7.51 g/cm³



What did the second record say?
Density functional theory data (PBE) for a relaxed structure of BaTaH.

a b c (Å): 12.8808 3.7101 3.7101
angles (deg): 90.00 115.31 64.69
Last column: nearest neighbours and their distance in Å.
Atoms (fractional coordinates):
1 H 0.7376 0.8976 0.1024  1 Ta 1.96
2 H 0.2624 0.1024 0.8976  1 Ta 1.96
3 Ba 0.7981 0.3075 0.6925  4 H 2.69-2.70
4 Ba 0.2019 0.6925 0.3075  4 H 2.69-2.70
5 Ta 0.5462 0.1815 0.8185  1 H 1.96
6 Ta 0.4538 0.8185 0.1815  1 H 1.96

Electronic total energy: -5.649 eV per atom
Calculated density: 7.51 g/cm³